1.
## Sc8Ga2Fe (PBE-GGA)

Data for crystalline Sc8Ga2Fe at its relaxed geometry. Values from VASP.

Values from the calculation:
As for the symmetry: C2/m, No. 12. The calculation puts the raw total energy at -6.204 eV/atom. The value obtained for the formation energy is -0.279 eV/atom. As for the total moment: 0.00 μB/f.u.

Cell and atoms, written as Quantum ESPRESSO input:
```
&SYSTEM
  ibrav = 0, nat = 11, ntyp = 3
/
ATOMIC_SPECIES
Sc 44.96 Sc.upf
Ga 69.72 Ga.upf
Fe 55.84 Fe.upf
CELL_PARAMETERS angstrom
8.005 -2.433 0.000
8.005 2.433 0.000
-2.440 0.000 5.835
ATOMIC_POSITIONS angstrom
Sc -0.462 0.000 1.631
Sc 1.265 0.000 4.500
Sc 4.253 0.000 3.289
Sc 6.286 0.000 0.484
Sc 7.283 0.000 5.352
Sc 9.316 0.000 2.546
Sc 12.305 0.000 1.335
Sc 14.032 0.000 4.204
Ga 2.370 0.000 1.125
Ga 11.199 0.000 4.711
Fe 6.785 0.000 2.918
```

2.
## Sc2Ga8Fe (PBE-GGA)

Data for crystalline Sc2Ga8Fe at its relaxed geometry. Values from VASP.

Values from the calculation:
As for the symmetry: P4/mmm, No. 123. The calculation puts the raw total energy at -4.545 eV/atom. The value obtained for the formation energy is -0.423 eV/atom. As for the total moment: 0.00 μB/f.u.

Cell and atoms, written as Quantum ESPRESSO input:
```
&SYSTEM
  ibrav = 0, nat = 11, ntyp = 3
/
ATOMIC_SPECIES
Sc 44.96 Sc.upf
Ga 69.72 Ga.upf
Fe 55.84 Fe.upf
CELL_PARAMETERS angstrom
4.112 0.000 0.000
0.000 4.112 0.000
0.000 0.000 10.879
ATOMIC_POSITIONS angstrom
Sc 0.000 0.000 2.094
Sc 0.000 0.000 8.785
Ga 0.000 2.056 0.000
Ga 0.000 2.056 4.128
Ga 0.000 2.056 6.751
Ga 2.056 0.000 0.000
Ga 2.056 0.000 4.128
Ga 2.056 0.000 6.751
Ga 2.056 2.056 2.083
Ga 2.056 2.056 8.796
Fe 0.000 0.000 5.439
```

3.
## ScGa3Fe (PBE-GGA)

Data for crystalline ScGa3Fe at its relaxed geometry. Values from VASP.

Values from the calculation:
As for the symmetry: Pm-3m, No. 221. As for the energy relative to the lowest polymorph listed for this composition: 210.0 meV per atom. The calculation puts the raw total energy at -4.901 eV/atom. The value obtained for the formation energy is -0.126 eV/atom. As for the total moment: 0.00 μB/f.u.

Cell and atoms, written as Quantum ESPRESSO input:
```
&SYSTEM
  ibrav = 0, nat = 5, ntyp = 3
/
ATOMIC_SPECIES
Sc 44.96 Sc.upf
Ga 69.72 Ga.upf
Fe 55.84 Fe.upf
CELL_PARAMETERS angstrom
4.490 0.000 0.000
0.000 4.490 0.000
0.000 0.000 4.490
ATOMIC_POSITIONS angstrom
Sc 0.000 0.000 0.000
Ga 0.000 2.245 2.245
Ga 2.245 0.000 2.245
Ga 2.245 2.245 0.000
Fe 2.245 2.245 2.245
```